SrHgCl2 | PBE | relaxed

a b c (Å): 4.7334 7.5224 7.5175
angles (deg): 39.98 90.00 90.00
Positions (direct):
Cl: 0.0000 0.9000 0.9019
Hg: 0.0000 0.5945 0.5900
Sr: 0.5000 0.7923 0.7938
Cl: 0.5000 0.2133 0.2144

Output
ΔE_f (raw): -1.666 eV/atom
Volume: 43.00 Å³ per atom
Density: 3.47 g/cm³
Energy relative to the lowest polymorph listed for this composition: 133.1 meV per atom